# 1
# FeCo2P, relaxed, DFT PBE
# N(E_F) (states/eV/atom): 0.8808
# Electronic total energy (eV/atom): -7.099
# SG: Pmm2, No. 25
# E_form (eV/atom): -0.078
data_FeCo2P
_space_group_name_H-M_alt 'P 1'
_space_group_IT_number 1
_space_group_name_Hall 'P 1'
_cell_length_a 2.6970
_cell_length_b 3.4743
_cell_length_c 4.7769
_cell_angle_alpha 90.00
_cell_angle_beta 90.00
_cell_angle_gamma 90.00
loop_
_atom_site_label
_atom_site_fract_x
_atom_site_fract_y
_atom_site_fract_z
Fe1 0.0000 0.0000 0.0000
Co1 0.0000 0.0000 0.4889
Co2 0.5000 0.5000 0.7846
P1 0.5000 0.5000 0.2920

=====

# 2
# Ca2Zn2Au, relaxed, DFT PBE
# N(E_F) (states/eV/atom): 0.5953
# Electronic total energy (eV/atom): -2.432
# SG: C2/m, No. 12
# E_form (eV/atom): -0.466
# Offset from the most stable computed form (kJ/mol of atoms): 0.0
data_Ca2Zn2Au
_space_group_name_H-M_alt 'P 1'
_space_group_IT_number 1
_space_group_name_Hall 'P 1'
_cell_length_a 5.8432
_cell_length_b 5.8432
_cell_length_c 10.9983
_cell_angle_alpha 113.96
_cell_angle_beta 113.96
_cell_angle_gamma 44.88
loop_
_atom_site_label
_atom_site_fract_x
_atom_site_fract_y
_atom_site_fract_z
Ca1 0.0138 0.0138 0.3362
Ca2 0.1974 0.1974 0.1169
Ca3 0.8026 0.8026 0.8831
Ca4 0.9862 0.9862 0.6638
Zn1 0.3597 0.3597 0.4445
Zn2 0.4861 0.4861 0.1101
Zn3 0.5139 0.5139 0.8899
Zn4 0.6403 0.6403 0.5555
Au1 0.2790 0.2790 0.6616
Au2 0.7210 0.7210 0.3384